No. 1
DFT (GGA-PBE) results for a relaxed structure of RePO6.

Cell and atoms, written as POSCAR:
```
RePO6
1.0
7.071 -4.098 0.000
7.071 4.098 0.000
-1.715 0.000 20.272
Re P O
12 12 72
direct
0.008 0.989 0.634
0.011 0.992 0.866
0.315 0.368 0.720
0.327 0.343 0.466
0.343 0.327 0.966
0.368 0.315 0.220
0.632 0.685 0.780
0.657 0.673 0.034
0.673 0.657 0.534
0.685 0.632 0.280
0.989 0.008 0.134
0.992 0.011 0.366
0.032 0.232 0.013
0.067 0.356 0.832
0.232 0.032 0.513
0.356 0.067 0.332
0.362 0.582 0.354
0.418 0.638 0.146
0.582 0.362 0.854
0.638 0.418 0.646
0.644 0.933 0.668
0.768 0.968 0.487
0.933 0.644 0.168
0.968 0.768 0.987
0.008 0.203 0.829
0.047 0.155 0.082
0.065 0.082 0.704
0.080 0.084 0.458
0.082 0.065 0.204
0.084 0.080 0.958
0.085 0.468 0.200
0.101 0.403 0.904
0.103 0.442 0.431
0.133 0.385 0.668
0.155 0.047 0.582
0.159 0.752 0.640
0.167 0.603 0.997
0.190 0.288 0.024
0.203 0.008 0.329
0.210 0.744 0.393
0.221 0.593 0.754
0.248 0.841 0.860
0.249 0.270 0.793
0.256 0.790 0.107
0.270 0.249 0.293
0.288 0.190 0.524
0.290 0.552 0.285
0.308 0.517 0.523
0.385 0.133 0.168
0.386 0.465 0.154
0.397 0.833 0.503
0.403 0.101 0.404
0.403 0.441 0.896
0.407 0.779 0.746
0.441 0.403 0.396
0.442 0.103 0.931
0.448 0.710 0.215
0.465 0.386 0.654
0.468 0.085 0.700
0.483 0.692 0.977
0.517 0.308 0.023
0.532 0.915 0.300
0.535 0.614 0.346
0.552 0.290 0.785
0.558 0.897 0.069
0.559 0.597 0.604
0.593 0.221 0.254
0.597 0.559 0.104
0.597 0.899 0.596
0.603 0.167 0.497
0.614 0.535 0.846
0.615 0.867 0.832
0.692 0.483 0.477
0.710 0.448 0.715
0.712 0.810 0.476
0.730 0.751 0.707
0.744 0.210 0.893
0.751 0.730 0.207
0.752 0.159 0.140
0.779 0.407 0.246
0.790 0.256 0.607
0.797 0.992 0.671
0.810 0.712 0.976
0.833 0.397 0.003
0.841 0.248 0.360
0.845 0.953 0.418
0.867 0.615 0.332
0.897 0.558 0.569
0.899 0.597 0.096
0.915 0.532 0.800
0.916 0.920 0.042
0.918 0.935 0.796
0.920 0.916 0.542
0.935 0.918 0.296
0.953 0.845 0.918
0.992 0.797 0.171
```

uncorrected energy: -7.64 eV/atom



No. 2
DFT (GGA-PBE) results for a relaxed structure of Ba2NaCu3S5.

Cell and atoms, written as POSCAR:
```
Ba2NaCu3S5
1.0
8.303 -2.773 0.000
8.303 2.773 0.000
-1.550 0.000 10.299
Ba Na Cu S
4 2 6 10
direct
0.042 0.042 0.211
0.263 0.263 0.801
0.737 0.737 0.199
0.958 0.958 0.789
0.394 0.394 0.265
0.606 0.606 0.735
0.088 0.574 0.510
0.264 0.736 0.500
0.426 0.912 0.490
0.574 0.088 0.510
0.736 0.264 0.500
0.912 0.426 0.490
0.067 0.685 0.030
0.097 0.097 0.619
0.239 0.239 0.355
0.315 0.933 0.970
0.430 0.430 0.646
0.570 0.570 0.354
0.685 0.067 0.030
0.761 0.761 0.645
0.903 0.903 0.381
0.933 0.315 0.970
```

uncorrected energy: -4.36 eV/atom



No. 3
DFT (GGA-PBE) results for a relaxed structure of Li4Ga2NiAg.

Cell and atoms, written as POSCAR:
```
Li4Ga2NiAg
1.0
4.271 0.000 0.000
0.000 4.271 0.000
0.000 0.000 6.114
Li Ga Ni Ag
4 2 1 1
direct
0.000 0.000 0.000
0.000 0.500 0.738
0.500 0.000 0.262
0.500 0.500 0.500
0.000 0.500 0.283
0.500 0.000 0.717
0.000 0.000 0.500
0.500 0.500 0.000
```

uncorrected energy: -3.06 eV/atom